# 1
# InAuBr2

InAuBr2 after structural relaxation (PBE-GGA, Alexandria via LeMat-Bulk).

Raw formation energy (eV/atom): -0.033
Crystal system: cubic

a = 7.498 Å, b = 7.498 Å, c = 7.498 Å
α = 90.00°, β = 90.00°, γ = 90.00°
Space group Fm-3m (No. 225)
Inequivalent atoms, fractional coordinates:
1 In 0.000 0.000 0.000 [4 per cell]
2 Au 0.000 0.000 0.500 [4 per cell]
3 Br 0.250 0.250 0.250 [8 per cell]

---

# 2
# CaZn2Hg

CaZn2Hg after structural relaxation (PBE-GGA, Alexandria via LeMat-Bulk).

Energy of formation from the pure elements (meV/atom): -173
Crystal system: tetragonal

a = 3.506 Å, b = 3.506 Å, c = 7.059 Å
α = 90.00°, β = 90.00°, γ = 90.00°
Space group P4mm (No. 99)
Inequivalent atoms, fractional coordinates:
1 Ca 0.000 0.000 0.000 [1 per cell]
2 Zn 0.000 0.000 0.540 [1 per cell]
3 Zn 0.500 0.500 0.716 [1 per cell]
4 Hg 0.500 0.500 0.294 [1 per cell]

---

# 3
# K2HfBeAg

K2HfBeAg after structural relaxation (PBE-GGA, Alexandria via LeMat-Bulk).

Energy of formation from the pure elements (meV/atom): 1428
Crystal system: tetragonal

a = 6.908 Å, b = 6.908 Å, c = 4.649 Å
α = 90.00°, β = 90.00°, γ = 90.00°
Space group P4/mmm (No. 123)
Inequivalent atoms, fractional coordinates:
1 K 0.000 0.500 0.000 [2 per cell]
2 Hf 0.000 0.000 0.000 [1 per cell]
3 Be 0.000 0.000 0.500 [1 per cell]
4 Ag 0.500 0.500 0.500 [1 per cell]

---

# 4
# Pu2C2O

Pu2C2O after structural relaxation (PBE-GGA, Alexandria via LeMat-Bulk).

Raw formation energy (eV/atom): -0.948
Crystal system: monoclinic

a = 12.803 Å, b = 4.007 Å, c = 6.250 Å
α = 90.00°, β = 107.64°, γ = 90.00°
Space group C2/c (No. 15)
Inequivalent atoms, fractional coordinates:
1 Pu 0.130 0.169 0.110 [8 per cell]
2 C 0.218 0.379 0.518 [8 per cell]
3 O 0.000 0.098 0.750 [4 per cell]

---

# 5
# CoPt2Se

CoPt2Se after structural relaxation (PBE-GGA, Alexandria via LeMat-Bulk).

Raw formation energy (eV/atom): 0.217
Crystal system: tetragonal

a = 3.805 Å, b = 3.805 Å, c = 17.979 Å
α = 90.00°, β = 90.00°, γ = 90.00°
Space group I-42d (No. 122)
Inequivalent atoms, fractional coordinates:
1 Co 0.000 0.000 0.000 [4 per cell]
2 Pt 0.245 0.250 0.125 [8 per cell]
3 Se 0.000 0.000 0.500 [4 per cell]

---

# 6
# YZn2Ga

YZn2Ga after structural relaxation (PBE-GGA, Alexandria via LeMat-Bulk).

Energy of formation from the pure elements (meV/atom): 282
Crystal system: trigonal

a = 3.1505 Å, b = 3.1505 Å, c = 30.7400 Å
α = 90.00°, β = 90.00°, γ = 120.00°
Space group R-3m (No. 166, hexagonal axes)
Inequivalent atoms, fractional coordinates:
1 Y 0.0000 0.0000 0.0000 [3 per cell]
2 Zn 0.0000 0.0000 0.0969 [6 per cell]
3 Ga 0.0000 0.0000 0.5000 [3 per cell]

---

# 7
# As3SeS

As3SeS after structural relaxation (PBE-GGA, Alexandria via LeMat-Bulk).

Raw formation energy (eV/atom): 0.833
Crystal system: cubic

a = 4.827 Å, b = 4.827 Å, c = 4.827 Å
α = 90.00°, β = 90.00°, γ = 90.00°
Space group Pm-3m (No. 221)
Inequivalent atoms, fractional coordinates:
1 As 0.000 0.000 0.500 [3 per cell]
2 Se 0.500 0.500 0.500 [1 per cell]
3 S 0.000 0.000 0.000 [1 per cell]

---

Number 1: E_tot -2.373 eV per atom, size of the total moment 0.00 μB per formula unit. Number 2: E_tot -1.386 eV per atom, size of the total moment 0.00 μB per formula unit. Number 3: E_tot -2.317 eV per atom, size of the total moment 0.29 μB per formula unit. Number 4: E_tot -11.362 eV per atom, size of the total moment 9.22 μB per formula unit. Number 5: E_tot -5.451 eV per atom, size of the total moment 1.65 μB per formula unit. Number 6: E_tot -2.728 eV per atom, size of the total moment 0.00 μB per formula unit. Number 7: E_tot -3.479 eV per atom, size of the total moment 0.00 μB per formula unit.